# 1
{"formula": "Be2AgSb", "functional": "PBE-GGA", "state": "relaxed", "cell": [[4.7830, -0.0032, -0.0011], [1.3139, 4.5990, 0.0011], [-3.0465, -2.3005, 2.8816]], "species": ["Be", "Be", "Sb", "Ag"], "fractional_positions": [[0.0000, 0.0000, 0.0000], [0.5000, 0.5000, 0.0000], [0.2500, 0.7500, 0.5000], [0.7500, 0.2500, 0.5000]], "magmom_total_mub_per_fu": 0.0, "dos_ef_per_ev_cell": 1.55, "raw_formation_energy_ev_per_atom": 0.5648}



# 2
{"formula": "Ca10Si3S3Cl2O24", "functional": "PBE-GGA", "state": "relaxed", "cell": [[-9.5273, 2.3064, -1.6184], [3.3128, -1.1951, 9.2900], [1.5400, 6.5694, 0.2959]], "species": ["Ca", "Ca", "Ca", "Ca", "Ca", "Ca", "Ca", "Ca", "Ca", "Ca", "O", "O", "O", "O", "O", "O", "O", "O", "O", "O", "O", "O", "O", "O", "O", "O", "O", "O", "O", "O", "O", "O", "O", "O", "Si", "Si", "Si", "S", "S", "S", "Cl", "Cl"], "fractional_positions": [[0.0364, 0.7612, 0.0000], [0.2388, 0.2752, 0.0000], [0.9941, 0.2487, 0.5000], [0.6667, 0.3333, 0.7758], [0.3333, 0.6667, 0.7669], [0.2546, 0.0059, 0.5000], [0.3333, 0.6667, 0.2331], [0.6667, 0.3333, 0.2242], [0.7513, 0.7454, 0.5000], [0.7248, 0.9636, 0.0000], [0.1334, 0.6317, 0.5000], [0.4008, 0.5334, 0.0000], [0.3683, 0.5017, 0.5000], [0.9204, 0.6395, 0.6770], [0.6612, 0.5037, 0.0000], [0.3605, 0.2809, 0.3230], [0.0896, 0.3517, 0.1971], [0.0896, 0.3517, 0.8029], [0.6483, 0.7379, 0.8029], [0.8425, 0.3388, 0.0000], [0.4983, 0.8666, 0.5000], [0.4666, 0.8673, 0.0000], [0.7191, 0.0796, 0.6770], [0.7191, 0.0796, 0.3230], [0.3605, 0.2809, 0.6770], [0.8694, 0.4069, 0.5000], [0.9204, 0.6395, 0.3230], [0.1327, 0.5992, 0.0000], [0.6483, 0.7379, 0.1971], [0.2621, 0.9104, 0.8029], [0.5375, 0.1306, 0.5000], [0.5931, 0.4625, 0.5000], [0.4963, 0.1575, 0.0000], [0.2621, 0.9104, 0.1971], [0.5933, 0.6231, 0.0000], [0.0298, 0.4067, 0.0000], [0.3769, 0.9702, 0.0000], [0.6161, 0.0340, 0.5000], [0.4178, 0.3839, 0.5000], [0.9660, 0.5822, 0.5000], [0.0000, 0.0000, 0.7440], [0.0000, 0.0000, 0.2560]], "magmom_total_mub_per_fu": 0.0, "dos_ef_per_ev_cell": 0.00, "raw_formation_energy_ev_per_atom": -2.6283}



# 3
{"formula": "Dy2Mg3Sc2", "functional": "PBE-GGA", "state": "relaxed", "cell": [[3.3915, 0.0017, 0.0073], [-1.6863, 7.3755, -1.5105], [0.0062, -2.5112, 7.9183]], "species": ["Dy", "Dy", "Sc", "Sc", "Mg", "Mg", "Mg"], "fractional_positions": [[0.3636, 0.7243, 0.1779], [0.6364, 0.2757, 0.8221], [0.9238, 0.8463, 0.5666], [0.0762, 0.1537, 0.4334], [0.0000, 0.0000, 0.0000], [0.6957, 0.3946, 0.2766], [0.3043, 0.6054, 0.7234]], "magmom_total_mub_per_fu": 0.0, "dos_ef_per_ev_cell": 9.07}



# 4
{"formula": "CaHo2In2", "functional": "PBE-GGA", "state": "relaxed", "cell": [[3.6868, 0.0000, -0.4943], [0.0000, 5.4035, 0.0000], [0.0248, 0.0000, 14.2010]], "species": ["Ho", "Ho", "Ho", "Ho", "Ca", "Ca", "In", "In", "In", "In"], "fractional_positions": [[0.2340, 0.7500, 0.4678], [0.9515, 0.2500, 0.9032], [0.7660, 0.2500, 0.5322], [0.0485, 0.7500, 0.0968], [0.8517, 0.7500, 0.7038], [0.1483, 0.2500, 0.2962], [0.5488, 0.2500, 0.0970], [0.3583, 0.2500, 0.7165], [0.4512, 0.7500, 0.9030], [0.6417, 0.7500, 0.2835]], "magmom_total_mub_per_fu": 0.0, "dos_ef_per_ev_cell": 7.64}



E
In order: -3.04 -6.71 -3.77 -3.69
Unit: eV/atom
Calculated volume
In order: 15.85 13.75 26.47 28.30
Unit: Å³ per atom